A plane-wave DFT calculation with PBE-GGA was carried out for a relaxed structure of NiSbSe2.

Lattice parameters (Å, degrees): 6.365 6.365 6.365 149.34 140.86 50.52
Atoms (fractional coordinates):
Se 0.988 0.988 0.000
Se 0.670 0.170 0.500
Sb 0.326 0.826 0.500
Ni 0.516 0.516 0.000

As for the volume: 20.65 A^3/atom. The value obtained for the mass density is 6.8 g/cm3. Its density of states at the Fermi level is 2.2 states/eV per cell. As for the crystal system: orthorhombic. Its formation energy without anion corrections is 3.67 kJ per mole of atoms.